[1]
Density functional theory data (SCAN) for a PBEsol-optimized structure of AuSeCl7. Values from VASP.

Symmetry = P2_1/c
Formation energy (no corrections) = -0.39 eV per atom
DOS at the Fermi energy = 0.00 states/eV/f.u.

The structure in Quantum ESPRESSO input format:
```
&SYSTEM
  ibrav = 0, nat = 36, ntyp = 3
/
ATOMIC_SPECIES
Au 196.97 Au.upf
Se 78.96 Se.upf
Cl 35.45 Cl.upf
CELL_PARAMETERS angstrom
8.621 0.000 0.000
0.000 9.981 0.000
-4.205 0.000 11.748
ATOMIC_POSITIONS crystal
Au 0.216 0.088 0.052
Au 0.216 0.412 0.552
Au 0.784 0.588 0.448
Au 0.784 0.912 0.948
Se 0.233 0.717 0.997
Se 0.233 0.783 0.497
Se 0.767 0.217 0.503
Se 0.767 0.283 0.003
Cl 0.058 0.242 0.449
Cl 0.058 0.258 0.949
Cl 0.097 0.604 0.844
Cl 0.097 0.896 0.344
Cl 0.152 0.538 0.387
Cl 0.152 0.962 0.887
Cl 0.286 0.555 0.123
Cl 0.286 0.945 0.623
Cl 0.288 0.214 0.212
Cl 0.288 0.286 0.712
Cl 0.371 0.584 0.657
Cl 0.371 0.916 0.157
Cl 0.469 0.713 0.965
Cl 0.469 0.787 0.465
Cl 0.531 0.213 0.535
Cl 0.531 0.287 0.035
Cl 0.629 0.084 0.843
Cl 0.629 0.416 0.343
Cl 0.712 0.714 0.288
Cl 0.712 0.786 0.788
Cl 0.714 0.055 0.377
Cl 0.714 0.445 0.877
Cl 0.848 0.038 0.113
Cl 0.848 0.462 0.613
Cl 0.903 0.104 0.656
Cl 0.903 0.396 0.156
Cl 0.942 0.742 0.051
Cl 0.942 0.758 0.551
```

[2]
Density functional theory data (SCAN) for a PBEsol-optimized structure of Cd2Hg3. Values from VASP.

Symmetry = Fdd2
Relative energy among the computed polymorphs = 5 meV/atom
DOS at the Fermi energy = 1.53 states/eV/f.u.

The structure in Quantum ESPRESSO input format:
```
&SYSTEM
  ibrav = 0, nat = 10, ntyp = 2
/
ATOMIC_SPECIES
Cd 112.41 Cd.upf
Hg 200.59 Hg.upf
CELL_PARAMETERS angstrom
0.000 7.289 3.220
4.799 0.000 3.220
4.799 7.289 0.000
ATOMIC_POSITIONS crystal
Cd 0.026 0.474 0.079
Cd 0.171 0.829 0.224
Cd 0.474 0.026 0.421
Cd 0.829 0.171 0.776
Hg 0.073 0.073 0.927
Hg 0.323 0.323 0.177
Hg 0.517 0.607 0.281
Hg 0.607 0.517 0.595
Hg 0.655 0.969 0.643
Hg 0.969 0.655 0.733
```

[3]
Density functional theory data (SCAN) for a PBEsol-optimized structure of CdCoAu. Values from VASP.

Symmetry = F-43m
Total DFT energy (no corrections) = -38.76 eV/atom
DOS at the Fermi energy = 1.16 states/eV/f.u.

The structure in Quantum ESPRESSO input format:
```
&SYSTEM
  ibrav = 0, nat = 3, ntyp = 3
/
ATOMIC_SPECIES
Cd 112.41 Cd.upf
Co 58.93 Co.upf
Au 196.97 Au.upf
CELL_PARAMETERS angstrom
0.000 2.981 2.981
2.981 0.000 2.981
2.981 2.981 0.000
ATOMIC_POSITIONS crystal
Cd 0.000 0.000 0.000
Co 0.750 0.750 0.750
Au 0.500 0.500 0.500
```

[4]
Density functional theory data (SCAN) for a PBEsol-optimized structure of Nd2EuBeO5. Values from VASP.

Symmetry = Pna2_1
Formation energy (no corrections) = -3.42 eV per atom

The structure in Quantum ESPRESSO input format:
```
&SYSTEM
  ibrav = 0, nat = 36, ntyp = 4
/
ATOMIC_SPECIES
Nd 144.24 Nd.upf
Eu 151.96 Eu.upf
Be 9.01 Be.upf
O 16.00 O.upf
CELL_PARAMETERS angstrom
9.444 0.000 0.000
0.000 6.481 0.000
0.000 0.000 7.229
ATOMIC_POSITIONS crystal
Nd 0.024 0.097 0.000
Nd 0.172 0.576 0.780
Nd 0.328 0.076 0.280
Nd 0.476 0.597 0.500
Nd 0.524 0.403 0.000
Nd 0.672 0.924 0.780
Nd 0.828 0.424 0.280
Nd 0.976 0.903 0.500
Eu 0.175 0.582 0.233
Eu 0.325 0.082 0.733
Eu 0.675 0.918 0.233
Eu 0.825 0.418 0.733
Be 0.102 0.308 0.502
Be 0.398 0.808 0.002
Be 0.602 0.192 0.502
Be 0.898 0.692 0.002
O 0.011 0.523 0.504
O 0.068 0.196 0.695
O 0.069 0.189 0.311
O 0.225 0.863 0.003
O 0.226 0.833 0.502
O 0.274 0.333 0.002
O 0.275 0.363 0.503
O 0.431 0.689 0.811
O 0.432 0.696 0.195
O 0.489 0.023 0.004
O 0.511 0.977 0.504
O 0.568 0.304 0.695
O 0.569 0.311 0.311
O 0.725 0.637 0.003
O 0.726 0.667 0.502
O 0.774 0.167 0.002
O 0.775 0.137 0.503
O 0.931 0.811 0.811
O 0.932 0.804 0.195
O 0.989 0.477 0.004
```